{"formula": "La3ZnOs", "functional": "PBE-GGA", "state": "relaxed", "lattice": [[5.5782, 0.0000, 0.0000], [0.0000, 5.5782, 0.0000], [0.0000, 0.0000, 5.5782]], "species": ["La", "La", "La", "Zn", "Os"], "frac_coords": [[0.0000, 0.0000, 0.5000], [0.0000, 0.5000, 0.0000], [0.5000, 0.0000, 0.0000], [0.5000, 0.5000, 0.5000], [0.0000, 0.0000, 0.0000]], "delta_e_f_kj_per_mol_atoms": -1.0, "polymorph_energy_mev_per_atom": 177, "energy_ev_per_cell": -27.34}

{"formula": "CsPuCu2Te4", "functional": "PBE-GGA", "state": "relaxed", "lattice": [[-3.0332, 4.6625, 5.0240], [3.0332, -4.6625, 5.0240], [3.0332, 4.6625, -5.0240]], "species": ["Cs", "Pu", "Cu", "Cu", "Te", "Te", "Te", "Te"], "frac_coords": [[0.0000, 0.0000, 0.0000], [0.5000, 0.5000, 0.0000], [0.3739, 0.8739, 0.5000], [0.6261, 0.1261, 0.5000], [0.1078, 0.0731, 0.5684], [0.4953, 0.9269, 0.0347], [0.5047, 0.5394, 0.4316], [0.8922, 0.4606, 0.9653]], "formation_energy_uncorrected_ev_per_atom": -0.284, "energy_ev_per_cell": -38.22}

{"formula": "ZrTlAgSe3", "functional": "PBE-GGA", "state": "relaxed", "lattice": [[8.6125, 0.0000, 0.0000], [0.0000, 3.9742, 0.0000], [-3.2017, 0.0000, 9.3068]], "species": ["Zr", "Zr", "Tl", "Tl", "Ag", "Ag", "Se", "Se", "Se", "Se", "Se", "Se"], "frac_coords": [[0.1883, 0.2500, 0.1611], [0.8117, 0.7500, 0.8389], [0.2675, 0.7500, 0.7301], [0.7325, 0.2500, 0.2699], [0.4269, 0.7500, 0.3921], [0.5731, 0.2500, 0.6079], [0.0422, 0.2500, 0.8618], [0.2381, 0.2500, 0.4427], [0.3865, 0.7500, 0.1172], [0.6135, 0.2500, 0.8828], [0.7619, 0.7500, 0.5573], [0.9578, 0.7500, 0.1382]], "formation_energy_uncorrected_ev_per_atom": -0.818, "energy_ev_per_cell": -58.25}